Material: VP4O12
Method: DFT, PBE+U
State: relaxed

Values from the calculation:
excess energy over the best structure of this formula in the dataset	0.29	eV/f.u.
crystal system	monoclinic
M_tot	1.91	Bohr magnetons per cell
calculated total energy	-7.246	eV/atom
symmetry	C2/m, No. 12

Unit cell a=10.572 b=10.572 c=5.246 alpha=99.29 beta=99.29 gamma=73.31
Positions (direct):
V 0.000 0.500 0.000
V 0.500 0.000 0.000
P 0.142 0.701 0.825
P 0.191 0.431 0.537
P 0.299 0.858 0.175
P 0.431 0.191 0.537
P 0.569 0.809 0.463
P 0.701 0.142 0.825
P 0.809 0.569 0.463
P 0.858 0.299 0.175
O 0.059 0.810 0.687
O 0.079 0.637 0.003
O 0.095 0.406 0.697
O 0.156 0.412 0.246
O 0.190 0.941 0.313
O 0.218 0.572 0.632
O 0.276 0.724 0.000
O 0.337 0.337 0.608
O 0.363 0.921 0.997
O 0.406 0.095 0.697
O 0.412 0.156 0.246
O 0.428 0.782 0.368
O 0.572 0.218 0.632
O 0.588 0.844 0.754
O 0.594 0.905 0.303
O 0.637 0.079 0.003
O 0.663 0.663 0.392
O 0.724 0.276 0.000
O 0.782 0.428 0.368
O 0.810 0.059 0.687
O 0.844 0.588 0.754
O 0.905 0.594 0.303
O 0.921 0.363 0.997
O 0.941 0.190 0.313